Record 1
First-principles (meta-GGA SCAN) data for Al5Si at its PBEsol-relaxed geometry, as listed in Alexandria.

Results
raw formation energy	0.12	eV/atom
magnetic moment	0.0	μB/cell

```
Al5Si
1.0
5.286 -1.390 0.000
5.286 1.390 0.000
-1.890 0.000 6.489
Al Si
5 1
Direct
0.000 0.000 0.000
0.050 0.050 0.613
0.386 0.386 0.279
0.668 0.668 0.345
0.724 0.724 0.939
0.334 0.334 0.670
```



Record 2
First-principles (meta-GGA SCAN) data for Cs2MgTaSi at its PBEsol-relaxed geometry, as listed in Alexandria.

Results
raw formation energy	1.72	eV/atom
magnetic moment	7.5	μB/cell

```
Cs2MgTaSi
1.0
6.449 0.000 0.000
0.000 6.449 0.000
0.000 0.000 5.598
Cs Mg Ta Si
2 1 1 1
Direct
0.000 0.500 0.000
0.500 0.000 0.000
0.000 0.000 0.500
0.000 0.000 0.000
0.500 0.500 0.500
```



Record 3
First-principles (meta-GGA SCAN) data for LaTl at its PBEsol-relaxed geometry, as listed in Alexandria.

Results
magnetic moment	1.2	μB/cell
total energy	-58.32	eV per atom

```
LaTl
1.0
2.009 -6.225 0.000
2.009 6.225 0.000
0.000 0.000 4.952
La Tl
2 2
Direct
0.148 0.852 0.750
0.852 0.148 0.250
0.419 0.581 0.750
0.581 0.419 0.250
```



Record 4
First-principles (meta-GGA SCAN) data for BaNiPS2 at its PBEsol-relaxed geometry, as listed in Alexandria.

Results
raw formation energy	-0.71	eV/atom
magnetic moment	0.0	μB/cell

```
BaNiPS2
1.0
4.875 0.000 0.000
0.000 4.875 0.000
0.000 0.000 4.194
Ba Ni P S
1 1 1 2
Direct
0.000 0.000 0.000
0.500 0.500 0.500
0.500 0.500 0.000
0.000 0.500 0.500
0.500 0.000 0.500
```



Record 5
First-principles (meta-GGA SCAN) data for MnZn2In at its PBEsol-relaxed geometry, as listed in Alexandria.

Results
magnetic moment	3.5	μB/cell
total energy	-19.63	eV per atom

```
MnZn2In
1.0
2.929 0.000 0.000
0.000 3.826 0.000
0.000 0.000 5.596
Mn Zn In
1 2 1
Direct
0.000 0.000 0.000
0.500 0.500 0.218
0.500 0.500 0.782
0.000 0.000 0.500
```



Record 6
First-principles (meta-GGA SCAN) data for Co2AsOs at its PBEsol-relaxed geometry, as listed in Alexandria.

Results
magnetic moment	2.0	μB/cell
total energy	-31.40	eV per atom

```
Co2AsOs
1.0
2.680 0.000 0.000
0.000 2.680 0.000
0.000 0.000 6.780
Co As Os
2 1 1
Direct
0.000 0.000 0.245
0.000 0.000 0.755
0.500 0.500 0.000
0.500 0.500 0.500
```



Record 7
First-principles (meta-GGA SCAN) data for ScSi2Rh at its PBEsol-relaxed geometry, as listed in Alexandria.

Results
raw formation energy	-0.52	eV/atom
magnetic moment	0.0	μB/cell

```
ScSi2Rh
1.0
-1.431 2.444 4.390
1.431 -2.444 4.390
1.431 2.444 -4.390
Sc Si Rh
1 2 1
Direct
0.000 0.000 0.000
0.275 0.775 0.500
0.725 0.225 0.500
0.500 0.500 0.000
```



Record 8
First-principles (meta-GGA SCAN) data for Co3Pt2 at its PBEsol-relaxed geometry, as listed in Alexandria.

Results
magnetic moment	13.4	μB/cell
total energy	-38.51	eV per atom

```
Co3Pt2
1.0
0.000 6.271 2.298
4.342 0.000 2.298
4.342 6.271 0.000
Co Pt
6 4
Direct
0.000 0.000 0.000
0.250 0.250 0.250
0.375 0.496 0.425
0.496 0.375 0.704
0.546 0.825 0.754
0.825 0.546 0.875
0.087 0.757 0.310
0.404 0.940 0.493
0.757 0.087 0.846
0.940 0.404 0.163
```



Record 9
First-principles (meta-GGA SCAN) data for CaLa2HAu at its PBEsol-relaxed geometry, as listed in Alexandria.

Results
magnetic moment	0.0	μB/cell
total energy	-34.02	eV per atom

```
CaLa2HAu
1.0
4.850 0.000 0.000
0.000 4.850 0.000
0.000 0.000 4.911
Ca La H Au
1 2 1 1
Direct
0.000 0.000 0.000
0.000 0.500 0.500
0.500 0.000 0.500
0.500 0.500 0.500
0.500 0.500 0.000
```



Record 10
First-principles (meta-GGA SCAN) data for Ge2RuCl at its PBEsol-relaxed geometry, as listed in Alexandria.

Results
raw formation energy	0.72	eV/atom
magnetic moment	1.4	μB/cell

```
Ge2RuCl
1.0
0.000 3.207 3.207
3.207 0.000 3.207
3.207 3.207 0.000
Ge Ru Cl
2 1 1
Direct
0.250 0.250 0.250
0.750 0.750 0.750
0.000 0.000 0.000
0.500 0.500 0.500
```



Record 11
First-principles (meta-GGA SCAN) data for KAu2Cl at its PBEsol-relaxed geometry, as listed in Alexandria.

Results
raw formation energy	-0.31	eV/atom
magnetic moment	0.0	μB/cell

```
KAu2Cl
1.0
2.724 -6.108 0.000
2.724 6.108 0.000
0.000 0.000 2.778
K Au Cl
1 2 1
Direct
0.000 0.000 0.000
0.000 0.500 0.500
0.500 0.000 0.500
0.500 0.500 0.000
```



Record 12
First-principles (meta-GGA SCAN) data for CaRu2IBr at its PBEsol-relaxed geometry, as listed in Alexandria.

Results
raw formation energy	0.79	eV/atom
magnetic moment	2.0	μB/cell

```
CaRu2IBr
1.0
4.715 0.000 0.000
0.000 4.715 0.000
0.000 0.000 6.308
Ca Ru I Br
1 2 1 1
Direct
0.000 0.000 0.000
0.000 0.500 0.500
0.500 0.000 0.500
0.500 0.500 0.500
0.500 0.500 0.000
```